# RbTiSn2

A relaxed structure of RbTiSn2 (PBE, the Alexandria database).

Cell lengths 5.3491, 5.3491, 5.3491 Å; angles 60.00, 60.00, 60.00 degrees
Fractional coordinates of all 4 atoms:
Sn1 0.2500 0.2500 0.2500
Sn2 0.7500 0.7500 0.7500
Rb1 0.5000 0.5000 0.5000
Ti1 0.0000 0.0000 0.0000

Summary:
**Total moment**: 0.00 μB/cell
**Theoretical density**: 5.69 g cm⁻³
**Symmetry**: Fm-3m
**Distance to the lowest polymorph of the same formula**: 524 meV/atom
**E**: -3.786 eV/atom

***

# SmAlGeH

A relaxed structure of SmAlGeH (PBE, the Alexandria database).

Cell lengths 4.0133, 4.0133, 8.3007 Å; angles 90.00, 90.00, 90.00 degrees
Fractional coordinates of all 8 atoms:
Sm1 0.0000 0.5000 0.8421
Sm2 0.5000 0.0000 0.1579
Al1 0.0000 0.0000 0.5000
Al2 0.5000 0.5000 0.5000
Ge1 0.5000 0.0000 0.7099
Ge2 0.0000 0.5000 0.2901
H1 0.5000 0.5000 0.0000
H2 0.0000 0.0000 0.0000

Summary:
**Total moment**: 0.00 μB/cell
**Theoretical density**: 6.23 g cm⁻³
**Symmetry**: P4/nmm
**E**: -4.610 eV/atom

***

# Cs2MgICl3

A relaxed structure of Cs2MgICl3 (PBE, the Alexandria database).

Cell lengths 5.8260, 5.1923, 9.4993 Å; angles 105.86, 107.86, 90.00 degrees
Fractional coordinates of all 7 atoms:
Cs1 0.6529 0.6529 0.3058
Cs2 0.3471 0.3471 0.6942
Mg1 0.0000 0.0000 0.0000
I1 0.5000 0.0000 0.0000
Cl1 0.0000 0.5000 0.0000
Cl2 0.1456 0.1456 0.2913
Cl3 0.8544 0.8544 0.7087

Summary:
**Total moment**: 0.00 μB/cell
**Theoretical density**: 3.32 g cm⁻³
**Symmetry**: Immm
**Formation energy (no corrections)**: -1744.4 meV/atom
**E**: -3.229 eV/atom

***

# KZr2Tc

A relaxed structure of KZr2Tc (PBE, the Alexandria database).

Cell lengths 8.7289, 8.7289, 8.7289 Å; angles 158.00, 150.75, 36.90 degrees
Fractional coordinates of all 4 atoms:
K1 0.4248 0.4248 0.0000
Tc1 0.2297 0.7297 0.5000
Zr1 0.1093 0.1093 0.0000
Zr2 0.7362 0.2362 0.5000

Summary:
**Total moment**: 0.19 μB/cell
**Theoretical density**: 4.37 g cm⁻³
**Symmetry**: Imm2
**Distance to the lowest polymorph of the same formula**: 349 meV/atom
**E**: -6.655 eV/atom

***

Please write out number 3 again, unchanged.
# Cs2MgICl3

A relaxed structure of Cs2MgICl3 (PBE, the Alexandria database).

Cell lengths 5.8260, 5.1923, 9.4993 Å; angles 105.86, 107.86, 90.00 degrees
Fractional coordinates of all 7 atoms:
Cs1 0.6529 0.6529 0.3058
Cs2 0.3471 0.3471 0.6942
Mg1 0.0000 0.0000 0.0000
I1 0.5000 0.0000 0.0000
Cl1 0.0000 0.5000 0.0000
Cl2 0.1456 0.1456 0.2913
Cl3 0.8544 0.8544 0.7087

Summary:
**Total moment**: 0.00 μB/cell
**Theoretical density**: 3.32 g cm⁻³
**Symmetry**: Immm
**Formation energy (no corrections)**: -1744.4 meV/atom
**E**: -3.229 eV/atom